(1)
## NaZrNiTe3 (PBE)

Data for a geometry-optimized NaZrNiTe3 structure.

Results
The value obtained for the calculated volume is 27.519 Å³ per atom. The value obtained for the total energy is -4.9028 eV per atom. The uncorrected formation energy comes out at -724 meV per atom.

Unit cell a=8.7226 b=3.9455 c=10.3025 alpha=90.00 beta=111.35 gamma=90.00
With the nearest neighbours (Å) after each atom.
Space group P2_1/m (No. 11)
Unique sites:
1 Na 0.2496 0.2500 0.2231 (multiplicity 2)  6 Te 3.20-3.32
2 Zr 0.2029 0.7500 0.6788 (multiplicity 2)  6 Te 2.86-3.04, 2 Ni 3.04
3 Ni 0.4095 0.2500 0.8970 (multiplicity 2)  4 Te 2.56-2.59
4 Te 0.0640 0.7500 0.3622 (multiplicity 2)  3 Zr 2.96-3.04, 2 Na 3.20
5 Te 0.2749 0.7500 0.9729 (multiplicity 2)  3 Ni 2.56-2.59, 1 Zr 2.86
6 Te 0.4292 0.2500 0.6539 (multiplicity 2)  1 Ni 2.57, 2 Zr 2.87



(2)
## Na4Zr3NiTe8 (PBE)

Data for a geometry-optimized Na4Zr3NiTe8 structure.

Results
The value obtained for the calculated volume is 28.247 Å³ per atom. The value obtained for the total energy is -4.6325 eV per atom. The uncorrected formation energy comes out at -768 meV per atom.

Unit cell a=14.3335 b=8.2684 c=9.0020 alpha=90.00 beta=122.09 gamma=90.00
With the nearest neighbours (Å) after each atom.
Space group C2/m (No. 12)
Unique sites:
1 Na 0.0000 0.0000 0.0000 (multiplicity 2)  6 Te 3.32-3.33
2 Na 0.0000 0.5000 0.0000 (multiplicity 2)  6 Te 3.17-3.20
3 Na 0.2500 0.2500 0.0000 (multiplicity 4)  6 Te 3.17-3.20
4 Zr 0.0000 0.0000 0.5000 (multiplicity 2)  6 Te 2.93-2.95
5 Zr 0.2500 0.2500 0.5000 (multiplicity 4)  6 Te 2.93-2.95
6 Ni 0.0000 0.5000 0.5000 (multiplicity 2)  6 Te 2.79-2.80
7 Te 0.0087 0.2618 0.2879 (multiplicity 8)  1 Ni 2.79, 2 Zr 2.93
8 Te 0.2304 0.5000 0.7128 (multiplicity 4)  1 Ni 2.80, 2 Zr 2.93
9 Te 0.2424 0.0000 0.7271 (multiplicity 4)  3 Zr 2.95, 3 Na 3.17



(3)
## Na2Zr2NiTe6 (PBE)

Data for a geometry-optimized Na2Zr2NiTe6 structure.

Results
The value obtained for the calculated volume is 30.218 Å³ per atom. The value obtained for the total energy is -4.7113 eV per atom. The uncorrected formation energy comes out at -678 meV per atom.

Unit cell a=7.0319 b=12.2494 c=8.1118 alpha=90.00 beta=107.93 gamma=90.00
With the nearest neighbours (Å) after each atom.
Space group C2/m (No. 12)
Unique sites:
1 Na 0.0000 0.1709 0.0000 (multiplicity 4)  6 Te 3.22-3.26
2 Zr 0.0000 0.3309 0.5000 (multiplicity 4)  6 Te 2.91-2.93
3 Ni 0.0000 0.0000 0.5000 (multiplicity 2)  6 Te 2.73-2.77
4 Te 0.2363 0.1567 0.7146 (multiplicity 8)  1 Ni 2.77, 2 Zr 2.91-2.93
5 Te 0.2401 0.0000 0.2919 (multiplicity 4)  1 Ni 2.73, 2 Zr 2.93



(4)
## NaTh2Ni (PBE)

Data for a geometry-optimized NaTh2Ni structure.

Results
The value obtained for the calculated volume is 31.823 Å³ per atom. The value obtained for the total energy is -5.3702 eV per atom. The value obtained for the formation energy is 115 meV/atom.

Unit cell a=3.6559 b=3.6559 c=32.9918 alpha=90.00 beta=90.00 gamma=120.00
With the nearest neighbours (Å) after each atom.
Space group R-3m (No. 166, hexagonal axes)
Unique sites:
1 Na 0.0000 0.0000 0.0000 (multiplicity 3)  6 Na 3.66, 2 Th 3.71
2 Th 0.0000 0.0000 0.1124 (multiplicity 6)  3 Ni 2.77
3 Ni 0.0000 0.0000 0.5000 (multiplicity 3)  6 Th 2.77